DFT (PBE) results for a relaxed PmTm2Zr3N6 crystal.

abc: 5.7948 5.7948 5.8445
angles: 99.55 99.55 119.93
With the nearest neighbours (Å) after each atom.
Fractional positions:
N 0.0887 0.4328 0.2664  3 Zr 2.26-2.35, 2 Tm 2.40-2.41, 1 Pm 2.48
N 0.5672 0.9113 0.7336  3 Zr 2.26-2.35, 2 Tm 2.40-2.41, 1 Pm 2.48
N 0.4328 0.0887 0.2664  3 Zr 2.26-2.35, 2 Tm 2.40-2.41, 1 Pm 2.48
N 0.2548 0.2548 0.7328  3 Zr 2.27-2.36, 2 Tm 2.41, 1 Pm 2.48
N 0.9113 0.5672 0.7336  3 Zr 2.26-2.35, 2 Tm 2.40-2.41, 1 Pm 2.48
N 0.7452 0.7452 0.2672  3 Zr 2.27-2.36, 2 Tm 2.41, 1 Pm 2.48
Zr 0.8318 0.1682 0.5000  6 N 2.26-2.36
Zr 0.1682 0.8318 0.5000  6 N 2.26-2.36
Zr 0.5000 0.5000 0.5000  6 N 2.27-2.35
Pm 0.0000 0.0000 0.0000  6 N 2.48
Tm 0.6669 0.3331 0.0000  6 N 2.40-2.41
Tm 0.3331 0.6669 0.0000  6 N 2.40-2.41

## Properties
Formation energy without anion corrections   -1.708 eV per atom
Total energy   -9.149 eV per atom
Total magnetization   0.000 μB per atom